Computed, not measured: Pm12DyY6 after structural relaxation at the PBE level of DFT.

Geometry as POSCAR:
```
Pm12DyY6
1.0
-1.381 0.572 8.829
-7.692 -4.009 -2.225
5.251 -7.254 0.009
Pm Y Dy
12 6 1
direct
0.500 0.118 0.882 Pm
0.532 0.532 0.816 Pm
0.468 0.184 0.468 Pm
0.882 0.118 0.500 Pm
0.118 0.882 0.500 Pm
0.816 0.532 0.532 Pm
0.500 0.882 0.118 Pm
0.184 0.468 0.468 Pm
0.468 0.468 0.184 Pm
0.882 0.500 0.118 Pm
0.532 0.816 0.532 Pm
0.118 0.500 0.882 Pm
0.253 0.800 0.800 Y
0.200 0.747 0.200 Y
0.800 0.253 0.800 Y
0.747 0.200 0.200 Y
0.800 0.800 0.253 Y
0.200 0.200 0.747 Y
0.000 0.000 0.000 Dy
```

energy	-92.4	eV/cell
theoretical density	5.83	g/cm³
energy of formation from the pure elements	0.422	eV/atom
SG	R-3m (166)